(1)
## AuSeS6 (PBE)

Data for a relaxed AuSeS6 crystal.

Cell lengths 8.511, 4.943, 11.138 Å; angles 80.04, 108.95, 146.70 degrees
Fractional coordinates of all 8 atoms:
S  0.017  0.637  0.579
Se  0.500  0.000  0.000
S  0.154  0.297  0.816
S  0.186  0.888  0.313
Au  0.000  0.000  0.000
S  0.983  0.363  0.421
S  0.814  0.112  0.687
S  0.846  0.703  0.184

Summary:
Total magnetic moment = 0.00 μB/f.u.
VASP energy = -0.281 Ry per atom

(2)
## Au2SeS (PBE)

Data for a relaxed Au2SeS crystal.

Cell lengths 4.742, 4.742, 4.742 Å; angles 60.00, 60.00, 60.00 degrees
Last column: magnetic moment on the atom in μB.
Fractional coordinates of all 4 atoms:
S  0.000  0.000  0.000  0.29
Se  0.500  0.500  0.500  0.24
Au  0.250  0.250  0.250  0.11
Au  0.750  0.750  0.750  0.11

Summary:
Total magnetic moment = 0.94 μB/f.u.
VASP energy = -0.215 Ry per atom
Distance to the lowest polymorph of the same formula = 465 meV per atom

(3)
## Au2SeS (PBE)

Data for a relaxed Au2SeS crystal.

Cell lengths 5.777, 5.777, 7.136 Å; angles 66.12, 66.12, 90.00 degrees
Fractional coordinates of all 8 atoms:
S  0.500  0.500  0.000
Au  0.604  0.125  0.250
Se  0.000  0.000  0.000
Au  0.875  0.854  0.750
Se  0.750  0.250  0.500
Au  0.146  0.625  0.250
Au  0.375  0.396  0.750
S  0.250  0.750  0.500

Summary:
Total magnetic moment = 0.00 μB/f.u.
VASP energy = -0.249 Ry per atom
Distance to the lowest polymorph of the same formula = 0 meV per atom

Number 1: formation energy from raw total energies 11.5 kJ/mol of atoms. Number 2: formation energy from raw total energies 59.8 kJ/mol of atoms. Number 3: formation energy from raw total energies 14.9 kJ/mol of atoms.